# InSb2Te5 | the Alexandria database | PBE-GGA | optimized geometry
data_InSb2Te5
_cell_length_a 6.241
_cell_length_b 14.676
_cell_length_c 12.616
_cell_angle_alpha 90.00
_cell_angle_beta 90.00
_cell_angle_gamma 90.00
_symmetry_space_group_name_H-M 'C m c m'
_symmetry_Int_Tables_number 63
_symmetry_space_group_name_Hall '-C 2c 2'
loop_
_atom_site_label
_atom_site_type_symbol
_atom_site_fract_x
_atom_site_fract_y
_atom_site_fract_z
In1 In 0.000 0.218 0.250
Sb1 Sb 0.000 0.173 0.565
Te1 Te 0.000 0.035 0.126
Te2 Te 0.000 0.300 0.750
Te3 Te 0.000 0.343 0.065
# VASP energy: -107.6 eV per cell
# raw formation energy: -0.2 eV per formula unit
# spin magnetization: 0.00 μB per formula unit
# density of states at the Fermi level: 0.542 states/eV per atom